[1]
Entry from Alexandria: an optimized crystal structure of InReBr (GGA-PBE).

Summary:
**N(E_F)**: 1.081 states/eV per atom
**VASP energy**: -4.8196 eV/atom
**E above lowest polymorph**: 0.071 eV per atom
**Energy relative to the elements, uncorrected**: 0.800 eV per atom
**ρ**: 9.65 g/cm³
**Space-group type**: Fmm2
**Total moment**: 0.0 Bohr magnetons per cell

```
3
Lattice="8.466 0.034 -0.019 7.566 3.024 -0.007 0.900 -1.510 2.580" Properties=species:S:1:pos:R:3 pbc="T T T"
Re 6.088 0.056 1.686
Br 15.567 2.918 0.054
In 11.309 1.632 0.787
```


[2]
Entry from Alexandria: an optimized crystal structure of AcTePdO6 (GGA-PBE).

Summary:
**N(E_F)**: 0.439 states/eV per atom
**VASP energy**: -6.2505 eV/atom
**Energy relative to the elements, uncorrected**: -1.562 eV per atom
**ρ**: 6.83 g/cm³
**Space-group type**: P-31c
**Total moment**: 2.0 Bohr magnetons per cell

```
18
Lattice="5.403 0.000 0.000 -2.702 4.679 0.000 0.000 0.000 10.714" Properties=species:S:1:pos:R:3 pbc="T T T"
O 0.905 1.787 9.156
O -0.905 1.787 6.915
O 4.308 1.678 1.558
O -0.701 4.570 6.915
O 0.701 4.570 9.156
O 1.606 3.001 6.915
O 1.796 2.892 1.558
O 3.607 2.892 3.799
O 3.403 0.110 3.799
O 1.095 1.678 3.799
O 2.001 0.110 1.558
O -1.606 3.001 9.156
Pd 0.000 3.120 2.679
Pd 2.702 1.560 8.036
Ac 0.000 0.000 5.357
Ac 0.000 0.000 0.000
Te 0.000 3.120 8.036
Te 2.702 1.560 2.679
```


[3]
Entry from Alexandria: an optimized crystal structure of Nb4H2S (GGA-PBE).

Summary:
**N(E_F)**: 0.611 states/eV per atom
**VASP energy**: -7.1757 eV/atom
**ρ**: 6.70 g/cm³
**Space-group type**: I4/mmm
**Total moment**: 0.0 Bohr magnetons per cell

```
7
Lattice="-1.819 0.664 4.081 3.583 -1.971 1.918 3.131 3.719 3.291" Properties=species:S:1:pos:R:3 pbc="T T T"
S 0.000 0.000 0.000
Nb -0.910 0.332 2.040
Nb 1.792 -0.985 0.959
Nb 2.875 0.854 6.143
Nb 2.019 1.558 3.147
H 1.186 -0.063 3.039
H 3.709 2.475 6.251
```